# 1
A relaxed Ce6HgC3Cl2 crystal. Source: Alexandria, functional GGA-PBE.

Output
- Formation energy without anion corrections: -0.69 eV/atom
- Space-group type: C2/m
- Density: 7.3 g/cm³

extended XYZ file:
```
12
Lattice="-2.390 -2.754 -0.317 5.788 -5.403 3.294 -4.181 5.331 6.345" Properties=species:S:1:pos:R:3 pbc="T T T"
Ce 2.090 -2.630 7.089
Ce 0.670 -3.448 3.772
Ce -2.874 -0.196 2.234
Ce -4.727 0.887 6.799
Ce 3.944 -3.713 2.523
Ce -1.453 0.622 5.550
Hg -1.195 -1.377 -0.159
C 1.699 -4.078 1.489
C -3.760 0.310 4.521
C 2.977 -3.136 4.801
Cl -0.901 -2.359 6.153
Cl 0.118 -0.467 3.169
```

# 2
A relaxed TlCd2As crystal. Source: Alexandria, functional GGA-PBE.

Output
- E above lowest polymorph: 123 meV/atom
- Space-group type: Pmmm
- Density: 8.6 g/cm³
- Calculated formation energy: 136.7 meV/atom

extended XYZ file:
```
4
Lattice="4.394 0.000 0.000 0.000 5.169 0.000 0.000 0.000 4.275" Properties=species:S:1:pos:R:3 pbc="T T T"
Tl 2.197 0.000 2.137
As 0.000 2.585 2.137
Cd 0.000 0.000 0.000
Cd 2.197 2.585 0.000
```

# 3
A relaxed ZrTlSb2 crystal. Source: Alexandria, functional GGA-PBE.

Output
- E above lowest polymorph: 364 meV/atom
- Formation energy without anion corrections: 0.08 eV/atom
- Space-group type: I-42d
- Density: 5.7 g/cm³

extended XYZ file:
```
8
Lattice="6.834 0.000 0.000 0.000 6.834 0.000 3.417 3.417 6.686" Properties=species:S:1:pos:R:3 pbc="T T T"
Sb 4.915 1.709 1.672
Sb 1.919 5.126 1.672
Sb 5.126 5.336 5.015
Sb 8.543 8.333 5.015
Tl 0.000 0.000 0.000
Tl 6.834 3.417 3.343
Zr 3.417 3.417 0.000
Zr 3.417 6.834 3.343
```

# 4
A relaxed Fe5Co2NiRh2 crystal. Source: Alexandria, functional GGA-PBE.

Output
- Space-group type: P4/mbm
- Density: 8.6 g/cm³
- Calculated formation energy: 202.2 meV/atom

extended XYZ file:
```
20
Lattice="3.802 0.000 0.000 0.000 8.186 0.000 0.000 0.000 8.186" Properties=species:S:1:pos:R:3 pbc="T T T"
Fe 1.901 1.648 0.550
Fe 1.901 6.538 7.636
Fe 1.901 0.550 6.538
Fe 1.901 5.741 3.543
Fe 1.901 7.636 1.648
Fe 1.901 2.445 4.643
Fe 1.901 4.643 5.741
Fe 1.901 3.543 2.445
Fe 1.901 4.093 0.000
Fe 1.901 0.000 4.093
Co 0.000 0.940 5.033
Co 0.000 7.246 3.153
Co 0.000 5.033 7.246
Co 0.000 3.153 0.940
Ni 0.000 0.000 0.000
Ni 0.000 4.093 4.093
Rh 0.000 5.571 1.478
Rh 0.000 2.616 6.709
Rh 0.000 1.478 2.616
Rh 0.000 6.709 5.571
```

# 5
A relaxed RbTe2SCl crystal. Source: Alexandria, functional GGA-PBE.

Output
- Formation energy without anion corrections: -0.31 eV/atom
- Space-group type: P4/mmm
- Density: 3.5 g/cm³

extended XYZ file:
```
5
Lattice="5.160 0.000 0.000 0.000 7.180 0.000 0.000 0.000 5.160" Properties=species:S:1:pos:R:3 pbc="T T T"
S 0.000 0.000 0.000
Te 0.000 0.000 2.580
Te 2.580 0.000 0.000
Rb 0.000 3.590 0.000
Cl 2.580 3.590 2.580
```

# 6
A relaxed K2BaOsBr8 crystal. Source: Alexandria, functional GGA-PBE.

Output
- Formation energy without anion corrections: -1.12 eV/atom
- Space-group type: P-1
- Density: 3.8 g/cm³

extended XYZ file:
```
12
Lattice="6.198 -1.462 0.000 -1.610 8.317 -0.011 0.005 0.008 9.315" Properties=species:S:1:pos:R:3 pbc="T T T"
K 2.290 3.439 7.032
K 2.303 3.424 2.272
Ba 0.003 0.004 4.658
Os 0.000 0.000 0.000
Br -0.957 6.648 1.786
Br 2.291 5.935 -0.004
Br 5.553 0.213 1.794
Br 5.550 0.215 7.519
Br 2.302 0.927 9.308
Br -0.960 6.650 7.511
Br 1.694 5.503 4.645
Br 2.899 1.360 4.660
```

# 7
A relaxed CoRhAu3 crystal. Source: Alexandria, functional GGA-PBE.

Output
- E above lowest polymorph: 0 meV/atom
- Space-group type: Pm-3m
- Density: 12.2 g/cm³
- Calculated formation energy: 1111.6 meV/atom

extended XYZ file:
```
5
Lattice="4.679 0.000 0.000 0.000 4.679 0.000 0.000 0.000 4.679" Properties=species:S:1:pos:R:3 pbc="T T T"
Rh 2.339 2.339 2.339
Au 0.000 2.339 0.000
Au 0.000 0.000 2.339
Au 2.339 0.000 0.000
Co 0.000 0.000 0.000
```

# 8
A relaxed YZr3P crystal. Source: Alexandria, functional GGA-PBE.

Output
- E above lowest polymorph: 1979 meV/atom
- Space-group type: Pm-3m
- Density: 4.8 g/cm³
- Calculated formation energy: 1590.2 meV/atom

extended XYZ file:
```
5
Lattice="5.148 0.000 0.000 0.000 5.148 0.000 0.000 0.000 5.148" Properties=species:S:1:pos:R:3 pbc="T T T"
Y 0.000 0.000 0.000
P 2.574 2.574 2.574
Zr 0.000 2.574 0.000
Zr 0.000 0.000 2.574
Zr 2.574 0.000 0.000
```

# 9
A relaxed CdAg2Hg crystal. Source: Alexandria, functional GGA-PBE.

Output
- E above lowest polymorph: 10 meV/atom
- Space-group type: P4/mmm
- Density: 11.1 g/cm³
- Calculated formation energy: 16.3 meV/atom

extended XYZ file:
```
4
Lattice="0.317 -0.399 3.025 3.049 0.168 -0.297 -0.348 8.340 1.138" Properties=species:S:1:pos:R:3 pbc="T T T"
Hg 1.422 6.140 2.217
Ag -0.002 0.052 0.007
Ag -0.172 4.119 0.562
Cd 1.596 1.969 1.648
```

# 10
A relaxed Ce2Zn17 crystal. Source: Alexandria, functional GGA-PBE.

Output
- E above lowest polymorph: 0 meV/atom
- Space-group type: R-3m
- Density: 7.4 g/cm³
- Calculated formation energy: -223.3 meV/atom

extended XYZ file:
```
19
Lattice="-4.201 5.243 1.261 -3.214 -2.738 5.376 3.766 2.976 4.868" Properties=species:S:1:pos:R:3 pbc="T T T"
Ce -1.229 1.846 3.875
Ce -2.420 3.635 7.630
Zn -0.364 0.546 1.147
Zn -3.286 4.934 10.358
Zn 1.883 1.488 2.434
Zn -1.607 -1.369 2.688
Zn -2.101 2.622 0.630
Zn -3.504 -0.390 4.165
Zn -1.857 4.576 2.322
Zn 1.712 1.295 5.018
Zn -3.911 2.895 2.472
Zn 1.422 3.643 3.807
Zn -1.160 -1.057 5.227
Zn -0.317 0.996 6.849
Zn -4.206 2.103 5.088
Zn -0.799 4.893 4.840
Zn -2.851 0.588 6.665
Zn -3.333 4.485 4.656
Zn 0.556 3.378 6.417
```

# 11
A relaxed TaBRu3 crystal. Source: Alexandria, functional GGA-PBE.

Output
- Space-group type: Cmcm
- Density: 12.2 g/cm³
- Calculated formation energy: -280.3 meV/atom

extended XYZ file:
```
10
Lattice="4.749 0.000 1.648 0.000 5.703 0.000 0.177 0.000 5.024" Properties=species:S:1:pos:R:3 pbc="T T T"
Ru 1.382 2.852 4.134
Ru 3.544 2.852 2.538
Ru 1.382 0.000 4.134
Ru 3.544 5.703 2.538
Ru 1.302 1.426 1.764
Ru 3.624 4.278 4.908
B 0.092 1.426 0.124
B 4.834 4.278 6.548
Ta 3.622 1.426 4.906
Ta 1.304 4.278 1.767
```

# 12
A relaxed BaC2N2O2 crystal. Source: Alexandria, functional GGA-PBE.

Output
- Formation energy without anion corrections: -1.24 eV/atom
- Space-group type: R-3c
- Density: 3.6 g/cm³

extended XYZ file:
```
42
Lattice="7.182 0.000 0.000 3.591 6.220 0.000 3.591 2.073 13.771" Properties=species:S:1:pos:R:3 pbc="T T T"
Ba 10.773 6.220 6.184
Ba 7.182 4.146 13.070
Ba 3.591 2.073 7.586
Ba 7.182 4.146 0.701
Ba 10.773 6.220 10.328
Ba 3.591 2.073 3.443
C 7.628 5.399 5.306
C 5.874 3.907 5.306
C 8.043 3.134 5.306
C 10.326 3.325 12.192
C 13.502 7.280 12.192
C 8.489 8.053 12.192
C 6.736 2.894 8.464
C 8.489 4.386 8.464
C 6.320 5.159 8.464
C 4.037 4.967 1.579
C 0.861 1.012 1.579
C 5.874 0.240 1.579
N 8.547 4.393 5.285
N 6.285 5.205 5.285
N 6.713 2.841 5.285
N 9.408 2.320 12.170
N 7.650 6.987 12.170
N 4.487 3.132 12.170
N 5.817 3.899 8.486
N 8.078 3.088 8.486
N 7.650 5.452 8.486
N 4.956 5.972 1.601
N 6.713 1.306 1.601
N 9.876 5.161 1.601
O 8.868 2.126 5.375
O 8.088 6.617 5.375
O 4.589 3.696 5.375
O 12.677 6.272 12.261
O 9.775 7.842 12.261
O 9.866 4.544 12.261
O 5.495 6.167 8.395
O 6.276 1.675 8.395
O 9.775 4.597 8.395
O 1.687 2.020 1.510
O 4.589 0.451 1.510
O 4.497 3.749 1.510
```

# 13
A relaxed La2PrAu crystal. Source: Alexandria, functional GGA-PBE.

Output
- E above lowest polymorph: 138 meV/atom
- Space-group type: R-3m
- Density: 7.6 g/cm³
- Calculated formation energy: -278.1 meV/atom

extended XYZ file:
```
4
Lattice="-3.352 0.601 1.851 -0.123 -0.116 3.872 0.868 10.328 2.276" Properties=species:S:1:pos:R:3 pbc="T T T"
Pr -1.304 5.407 3.999
Au 0.000 0.000 0.000
La -0.734 2.293 1.985
La -1.874 8.520 6.014
```

# 14
A relaxed PuCuRuO6 crystal. Source: Alexandria, functional GGA-PBE.

Output
- Formation energy without anion corrections: -1.46 eV/atom
- Space-group type: P-31c
- Density: 8.1 g/cm³

extended XYZ file:
```
18
Lattice="5.142 0.000 0.000 -2.571 4.453 0.000 0.000 0.000 9.066" Properties=species:S:1:pos:R:3 pbc="T T T"
Pu 2.571 1.484 2.266
Pu 0.000 2.969 6.799
Cu 0.000 2.969 2.266
Cu 2.571 1.484 6.799
Ru 0.000 0.000 0.000
Ru 0.000 0.000 4.533
O 1.771 3.018 1.114
O 4.299 1.411 1.114
O -0.928 4.428 5.647
O -1.728 3.043 7.952
O 0.843 1.411 3.419
O 3.371 3.018 3.419
O 0.928 4.428 7.952
O 3.499 0.025 3.419
O -0.800 1.436 5.647
O 1.643 0.025 1.114
O 1.728 3.043 5.647
O 0.800 1.436 7.952
```

# 15
A relaxed RbAg2SeO4 crystal. Source: Alexandria, functional GGA-PBE.

Output
- Formation energy without anion corrections: -0.41 eV/atom
- Space-group type: C2/c
- Density: 5.4 g/cm³

extended XYZ file:
```
16
Lattice="-6.836 2.600 -0.262 -1.851 -2.877 -6.470 2.455 -4.137 5.621" Properties=species:S:1:pos:R:3 pbc="T T T"
Rb -0.926 -1.438 -3.235
Rb -6.535 -0.907 -0.687
Ag -3.418 1.300 -0.131
Ag -2.191 -0.769 2.679
Ag 1.227 -2.069 2.811
Ag -4.344 -0.139 -3.366
Se -3.116 -2.207 -0.555
Se -4.382 -1.538 5.359
O -2.816 -2.384 -4.992
O -3.933 -0.743 0.185
O -2.300 -3.671 -1.296
O -3.416 -2.031 3.881
O -7.244 -1.082 -5.608
O -4.066 -1.945 -2.294
O -2.167 -2.469 1.183
O 1.012 -3.333 4.497
```

# 16
A relaxed ReNiSb crystal. Source: Alexandria, functional GGA-PBE.

Output
- E above lowest polymorph: 0 meV/atom
- Formation energy without anion corrections: 0.46 eV/atom
- Space-group type: I4mm
- Density: 13.0 g/cm³

extended XYZ file:
```
3
Lattice="-4.738 -0.692 1.345 -3.630 -1.503 -3.050 4.653 -1.095 1.375" Properties=species:S:1:pos:R:3 pbc="T T T"
Ni -0.004 -0.001 -0.001
Re -2.835 -0.744 -0.578
Sb -5.529 -1.451 -1.126
```

# 17
A relaxed ThPaCdSn crystal. Source: Alexandria, functional GGA-PBE.

Output
- Space-group type: F-43m
- Density: 10.4 g/cm³
- Calculated formation energy: -15.4 meV/atom

extended XYZ file:
```
4
Lattice="-3.795 3.802 0.357 -4.751 -1.142 2.260 -1.272 2.091 4.795" Properties=species:S:1:pos:R:3 pbc="T T T"
Pa -4.909 2.376 3.706
Sn -7.363 3.563 5.560
Th 0.000 0.000 0.000
Cd -2.454 1.188 1.853
```

# 18
A relaxed TlTcSe2Cl crystal. Source: Alexandria, functional GGA-PBE.

Output
- Formation energy without anion corrections: 0.91 eV/atom
- Space-group type: P4/mmm
- Density: 5.5 g/cm³

extended XYZ file:
```
5
Lattice="-1.403 -2.738 -4.419 3.725 -3.459 0.960 -3.463 -2.922 2.910" Properties=species:S:1:pos:R:3 pbc="T T T"
Tl 0.000 0.000 0.000
Tc -0.571 -4.560 -0.275
Se -1.732 -1.461 1.455
Se -0.702 -1.369 -2.210
Cl 1.863 -1.729 0.480
```

# 19
A relaxed Y2LuRu crystal. Source: Alexandria, functional GGA-PBE.

Output
- E above lowest polymorph: 0 meV/atom
- Space-group type: P4/mmm
- Density: 7.2 g/cm³
- Calculated formation energy: -159.2 meV/atom

extended XYZ file:
```
4
Lattice="-0.232 3.366 0.679 -1.875 0.447 -2.851 -7.346 -1.435 4.605" Properties=species:S:1:pos:R:3 pbc="T T T"
Y -5.961 -1.164 3.737
Y -1.385 -0.271 0.868
Ru -1.053 1.906 -1.086
Lu -4.726 1.189 1.217
```

# 20
A relaxed GdMgSnPt crystal. Source: Alexandria, functional GGA-PBE.

Output
- Space-group type: F-43m
- Density: 9.4 g/cm³
- Calculated formation energy: -681.3 meV/atom

extended XYZ file:
```
4
Lattice="-2.474 -3.077 -3.028 2.381 -2.254 -3.743 0.858 -4.898 0.188" Properties=species:S:1:pos:R:3 pbc="T T T"
Mg 0.000 0.000 0.000
Gd 0.382 -5.114 -3.292
Sn 0.191 -2.557 -1.646
Pt 0.573 -7.672 -4.938
```

# 21
A relaxed Y2GePdPb crystal. Source: Alexandria, functional GGA-PBE.

Output
- Space-group type: P4/mmm
- Density: 6.1 g/cm³
- Calculated formation energy: 157.1 meV/atom

extended XYZ file:
```
5
Lattice="-0.419 2.810 4.579 -3.517 -3.453 1.797 3.977 -2.926 2.160" Properties=species:S:1:pos:R:3 pbc="T T T"
Pb -1.758 -1.726 0.899
Y 1.988 -1.463 1.080
Y -0.209 1.405 2.289
Ge 0.000 0.000 0.000
Pd 0.021 -1.784 4.268
```

# 22
A relaxed RbAl2Ag crystal. Source: Alexandria, functional GGA-PBE.

Output
- E above lowest polymorph: 517 meV/atom
- Space-group type: Fm-3m
- Density: 4.3 g/cm³
- Calculated formation energy: 555.3 meV/atom

extended XYZ file:
```
4
Lattice="-1.057 -3.334 3.762 -4.354 -2.723 -0.129 0.155 -5.050 -0.925" Properties=species:S:1:pos:R:3 pbc="T T T"
Rb 0.000 0.000 0.000
Ag -2.628 -5.554 1.354
Al -1.314 -2.777 0.677
Al -3.941 -8.331 2.031
```

# 23
A relaxed CsMgGa2 crystal. Source: Alexandria, functional GGA-PBE.

Output
- Space-group type: I4_1/amd
- Density: 3.3 g/cm³
- Calculated formation energy: 163.2 meV/atom

extended XYZ file:
```
8
Lattice="5.477 0.000 0.000 0.000 5.477 0.000 2.738 2.738 9.818" Properties=species:S:1:pos:R:3 pbc="T T T"
Cs 0.000 0.000 0.000
Cs 5.477 2.738 4.909
Mg 2.738 2.738 0.000
Mg 2.738 5.477 4.909
Ga 2.738 1.369 2.455
Ga 2.739 4.108 2.455
Ga 4.108 5.477 7.364
Ga 6.846 5.477 7.364
```